{
  "formula": "OsBr8",
  "functional": "PBE",
  "state": "optimized geometry",
  "crystal_system": "tetragonal",
  "energy_ev_per_atom": -2.46,
  "space_group": "I4/mmm, No. 139",
  "formation_energy_uncorrected_kj_per_mol_atoms": 26.4,
  "lattice": [[-4.389, 4.389, 4.306], [4.389, -4.389, 4.306], [4.389, 4.389, -4.306]],
  "species": ["Os", "Br", "Br", "Br", "Br", "Br", "Br", "Br", "Br"],
  "frac_coords": [[0.000, 0.000, 0.000], [0.000, 0.276, 0.276], [0.000, 0.724, 0.724], [0.276, 0.000, 0.276], [0.334, 0.334, 0.667], [0.334, 0.666, 0.000], [0.666, 0.334, 0.000], [0.666, 0.666, 0.333], [0.724, 0.000, 0.724]]
}

***

{
  "formula": "InCSeN2",
  "functional": "PBE",
  "state": "optimized geometry",
  "crystal_system": "tetragonal",
  "polymorph_energy_mev_per_atom": 0.0,
  "energy_ev_per_atom": -4.28,
  "space_group": "P4/mmm, No. 123",
  "formation_energy_uncorrected_kj_per_mol_atoms": 206.4,
  "lattice": [[3.882, 0.000, 0.000], [0.000, 3.882, 0.000], [0.000, 0.000, 4.444]],
  "species": ["In", "C", "Se", "N", "N"],
  "frac_coords": [[0.000, 0.000, 0.000], [0.500, 0.500, 0.500], [0.500, 0.500, 0.000], [0.000, 0.500, 0.500], [0.500, 0.000, 0.500]]
}

***

{
  "formula": "CaAcZnAs",
  "functional": "PBE",
  "state": "optimized geometry",
  "crystal_system": "cubic",
  "energy_ev_per_atom": -3.59,
  "space_group": "F-43m, No. 216",
  "lattice": [[0.000, 3.781, 3.781], [3.781, 0.000, 3.781], [3.781, 3.781, 0.000]],
  "species": ["Ca", "Ac", "Zn", "As"],
  "frac_coords": [[0.000, 0.000, 0.000], [0.500, 0.500, 0.500], [0.250, 0.250, 0.250], [0.750, 0.750, 0.750]]
}

***

{
  "formula": "YHg2IrSe",
  "functional": "PBE",
  "state": "optimized geometry",
  "crystal_system": "tetragonal",
  "energy_ev_per_atom": -2.95,
  "space_group": "P4/mmm, No. 123",
  "formation_energy_uncorrected_kj_per_mol_atoms": 89.8,
  "lattice": [[5.901, 0.000, 0.000], [0.000, 5.901, 0.000], [0.000, 0.000, 5.069]],
  "species": ["Y", "Hg", "Hg", "Ir", "Se"],
  "frac_coords": [[0.000, 0.000, 0.000], [0.000, 0.500, 0.000], [0.500, 0.000, 0.000], [0.000, 0.000, 0.500], [0.500, 0.500, 0.500]]
}

***

{
  "formula": "YMgCdPd",
  "functional": "PBE",
  "state": "optimized geometry",
  "crystal_system": "cubic",
  "energy_ev_per_atom": -4.05,
  "space_group": "F-43m, No. 216",
  "lattice": [[0.000, 3.491, 3.491], [3.491, 0.000, 3.491], [3.491, 3.491, 0.000]],
  "species": ["Y", "Mg", "Cd", "Pd"],
  "frac_coords": [[0.000, 0.000, 0.000], [0.500, 0.500, 0.500], [0.750, 0.750, 0.750], [0.250, 0.250, 0.250]]
}

***

{
  "formula": "Sr2MgTlRh",
  "functional": "PBE",
  "state": "optimized geometry",
  "crystal_system": "tetragonal",
  "polymorph_energy_mev_per_atom": 0.0,
  "energy_ev_per_atom": -3.12,
  "space_group": "P4/mmm, No. 123",
  "lattice": [[5.768, 0.000, 0.000], [0.000, 5.768, 0.000], [0.000, 0.000, 5.073]],
  "species": ["Sr", "Sr", "Mg", "Tl", "Rh"],
  "frac_coords": [[0.000, 0.500, 0.000], [0.500, 0.000, 0.000], [0.000, 0.000, 0.500], [0.500, 0.500, 0.500], [0.000, 0.000, 0.000]]
}

***

{
  "formula": "MgTa2Os",
  "functional": "PBE",
  "state": "optimized geometry",
  "crystal_system": "orthorhombic",
  "energy_ev_per_atom": -9.03,
  "space_group": "Cmm2, No. 35",
  "lattice": [[1.605, -2.351, 0.000], [1.605, 2.351, 0.000], [0.000, 0.000, 9.254]],
  "species": ["Mg", "Ta", "Ta", "Os"],
  "frac_coords": [[0.000, 0.000, 0.000], [0.000, 0.000, 0.531], [0.500, 0.500, 0.278], [0.500, 0.500, 0.757]]
}

***

{
  "formula": "HfTc5W4",
  "functional": "PBE",
  "state": "optimized geometry",
  "crystal_system": "tetragonal",
  "energy_ev_per_atom": -11.45,
  "space_group": "P4/mmm, No. 123",
  "lattice": [[3.151, 0.000, 0.000], [0.000, 3.151, 0.000], [0.000, 0.000, 15.879]],
  "species": ["Hf", "Tc", "Tc", "Tc", "Tc", "Tc", "W", "W", "W", "W"],
  "frac_coords": [[0.000, 0.000, 0.000], [0.500, 0.500, 0.108], [0.500, 0.500, 0.305], [0.500, 0.500, 0.500], [0.500, 0.500, 0.695], [0.500, 0.500, 0.892], [0.000, 0.000, 0.202], [0.000, 0.000, 0.401], [0.000, 0.000, 0.599], [0.000, 0.000, 0.798]]
}